Entry i
## Cu7Ag3 (GGA-PBE)

Data for crystalline Cu7Ag3 at its relaxed geometry.

Cell: 5.6321 5.6321 9.1172 Å, 97.57 97.57 28.48°
Fractional positions:
Ag 0.6851 0.6851 0.0940
Ag 0.4116 0.4116 0.1971
Ag 0.5034 0.5034 0.5093
Cu 0.1162 0.1162 0.3184
Cu 0.7978 0.7978 0.4121
Cu 0.2103 0.2103 0.6095
Cu 0.8962 0.8962 0.7066
Cu 0.5998 0.5998 0.7949
Cu 0.2934 0.2934 0.8883
Cu 0.9862 0.9862 0.9698

Calculated values
Crystal system: monoclinic

---

Entry ii
## Cu7Ag3 (GGA-PBE)

Data for crystalline Cu7Ag3 at its relaxed geometry.

Cell: 4.6566 4.6737 7.0939 Å, 102.85 109.00 99.28°
Fractional positions:
Ag 0.4074 0.1970 0.3932
Ag 0.1869 0.0976 0.6971
Ag 0.4044 0.7068 0.9098
Cu 0.9916 0.0095 0.0015
Cu 0.6222 0.3090 0.1076
Cu 0.1869 0.5955 0.1978
Cu 0.7999 0.8861 0.2979
Cu 0.9956 0.5030 0.4897
Cu 0.6013 0.7899 0.5974
Cu 0.8037 0.4057 0.8081

Calculated values
Crystal system: triclinic

---

Entry iii
## Cu7Ag3 (GGA-PBE)

Data for crystalline Cu7Ag3 at its relaxed geometry.

Cell: 9.3703 9.3703 5.4665 Å, 98.04 98.04 16.84°
Fractional positions:
Ag 0.5000 0.5000 0.0000
Ag 0.1089 0.1089 0.3180
Ag 0.8911 0.8911 0.6820
Cu 0.7027 0.7027 0.0846
Cu 0.8932 0.8932 0.2002
Cu 0.2910 0.2910 0.3786
Cu 0.5000 0.5000 0.5000
Cu 0.7090 0.7090 0.6214
Cu 0.1068 0.1068 0.7998
Cu 0.2973 0.2973 0.9154

Calculated values
Crystal system: monoclinic

---

On energetic grounds, entry i is preferred over the next structure by 0.5 kJ/mol of atoms.

---

Entry i
## Cu7Ag3 (GGA-PBE)

Data for crystalline Cu7Ag3 at its relaxed geometry.

Cell: 4.5979 2.7301 10.9967 Å, 90.00 94.95 90.00°
Fractional positions:
Ag 0.2384 0.5000 0.0926
Ag 0.0000 0.5000 0.5000
Ag 0.7616 0.5000 0.9074
Cu 0.7391 0.0000 0.1238
Cu 0.1210 0.0000 0.3002
Cu 0.6055 0.5000 0.3067
Cu 0.5000 0.0000 0.5000
Cu 0.3945 0.5000 0.6933
Cu 0.8790 0.0000 0.6998
Cu 0.2609 0.0000 0.8762

Calculated values
Crystal system: monoclinic

---

Entry ii
## Cu7Ag3 (GGA-PBE)

Data for crystalline Cu7Ag3 at its relaxed geometry.

Cell: 9.6737 9.6737 3.7623 Å, 90.00 90.00 157.18°
Fractional positions:
Ag 0.0000 0.0000 0.0000
Ag 0.6070 0.3930 0.0000
Ag 0.3930 0.6070 0.0000
Cu 0.7942 0.2058 0.0000
Cu 0.2058 0.7942 0.0000
Cu 0.8909 0.1091 0.5000
Cu 0.7063 0.2937 0.5000
Cu 0.5000 0.5000 0.5000
Cu 0.2937 0.7063 0.5000
Cu 0.1091 0.8909 0.5000

Calculated values
Crystal system: orthorhombic

---

On energetic grounds, entry ii is preferred over the next structure by 1.1 kJ/mol of atoms.

---

Entry i
## GdPbSO (GGA-PBE)

Data for crystalline GdPbSO at its relaxed geometry.

Cell: 4.5410 4.5410 11.3454 Å, 101.54 101.54 60.00°
Fractional positions:
Gd 0.7805 0.7805 0.3416
Gd 0.2195 0.2195 0.6584
O 0.7159 0.7159 0.1478
O 0.2841 0.2841 0.8522
Pb 0.3695 0.3695 0.1086
Pb 0.6305 0.6305 0.8914
S 0.1286 0.1286 0.3859
S 0.8714 0.8714 0.6141

Calculated values
Crystal system: trigonal

---

Entry ii
## GdPbSO (GGA-PBE)

Data for crystalline GdPbSO at its relaxed geometry.

Cell: 10.1522 10.1522 10.1522 Å, 26.17 26.17 26.17°
Fractional positions:
Gd 0.2144 0.2144 0.2144
Gd 0.7856 0.7856 0.7856
O 0.2945 0.2945 0.2945
O 0.7055 0.7055 0.7055
Pb 0.3737 0.3737 0.3737
Pb 0.6263 0.6263 0.6263
S 0.1184 0.1184 0.1184
S 0.8816 0.8816 0.8816

Calculated values
Crystal system: trigonal

---

On energetic grounds, entry i is preferred over the next structure by 6.6 kJ/mol of atoms.

---

Entry i
## BaPuTc (GGA-PBE)

Data for crystalline BaPuTc at its relaxed geometry.

Cell: 4.7479 4.7479 4.7479 Å, 60.00 60.00 60.00°
Fractional positions:
Ba 0.7500 0.7500 0.7500
Pu 0.0000 0.0000 0.0000
Tc 0.2500 0.2500 0.2500

Calculated values
Crystal system: cubic

---

Entry ii
## BaPuTc (GGA-PBE)

Data for crystalline BaPuTc at its relaxed geometry.

Cell: 4.7322 4.7322 4.7322 Å, 60.00 60.00 60.00°
Fractional positions:
Ba 0.0000 0.0000 0.0000
Pu 0.2500 0.2500 0.2500
Tc 0.7500 0.7500 0.7500

Calculated values
Crystal system: cubic

---

On energetic grounds, entry ii is preferred over the next structure by 31.4 kJ/mol of atoms.

---

Entry i
## SmDyNO (GGA-PBE)

Data for crystalline SmDyNO at its relaxed geometry.

Cell: 6.7079 8.1488 4.9927 Å, 90.00 90.00 90.00°
Fractional positions:
Dy 0.0841 0.3759 0.0501
Dy 0.5841 0.6241 0.0501
Dy 0.4159 0.3759 0.5501
Dy 0.9159 0.6241 0.5501
N 0.4244 0.3800 0.0506
N 0.9244 0.6200 0.0506
N 0.0756 0.3800 0.5506
N 0.5756 0.6200 0.5506
O 0.9106 0.1389 0.0510
O 0.4106 0.8611 0.0510
O 0.5894 0.1389 0.5510
O 0.0894 0.8611 0.5510
Sm 0.5693 0.1242 0.0506
Sm 0.0693 0.8758 0.0506
Sm 0.9307 0.1242 0.5506
Sm 0.4307 0.8758 0.5506

Calculated values
Crystal system: orthorhombic

---

Entry ii
## SmDyNO (GGA-PBE)

Data for crystalline SmDyNO at its relaxed geometry.

Cell: 6.6892 8.1560 5.0365 Å, 90.00 90.00 90.00°
Fractional positions:
Dy 0.5726 0.3794 0.0508
Dy 0.0726 0.6206 0.0508
Dy 0.9274 0.3794 0.5508
Dy 0.4274 0.6206 0.5508
N 0.4349 0.1312 0.0505
N 0.9349 0.8688 0.0505
N 0.0651 0.1312 0.5505
N 0.5651 0.8688 0.5505
O 0.9039 0.3776 0.0508
O 0.4039 0.6224 0.0508
O 0.5961 0.3776 0.5508
O 0.0961 0.6224 0.5508
Sm 0.0808 0.1290 0.0503
Sm 0.5808 0.8710 0.0503
Sm 0.4192 0.1290 0.5503
Sm 0.9192 0.8710 0.5503

Calculated values
Crystal system: orthorhombic

---

On energetic grounds, entry i is preferred over the next structure by 3.7 kJ/mol of atoms.

---

Entry i
## NpBeTe (GGA-PBE)

Data for crystalline NpBeTe at its relaxed geometry.

Cell: 4.6682 4.6682 4.6682 Å, 60.00 60.00 60.00°
Fractional positions:
Be 0.2500 0.2500 0.2500
Np 0.7500 0.7500 0.7500
Te 0.0000 0.0000 0.0000

Calculated values
Crystal system: cubic

---

Entry ii
## NpBeTe (GGA-PBE)

Data for crystalline NpBeTe at its relaxed geometry.

Cell: 4.4659 4.4659 4.4659 Å, 60.00 60.00 60.00°
Fractional positions:
Be 0.0000 0.0000 0.0000
Np 0.2500 0.2500 0.2500
Te 0.7500 0.7500 0.7500

Calculated values
Crystal system: cubic

---

On energetic grounds, entry ii is preferred over the next structure by 45.5 kJ/mol of atoms.

---

Entry i
## AsAu15 (GGA-PBE)

Data for crystalline AsAu15 at its relaxed geometry.

Cell: 5.0022 33.1204 5.0037 Å, 90.00 109.39 90.00°
Fractional positions:
As 0.0000 0.1650 0.0000
As 0.0000 0.8350 0.5000
Au 0.5000 0.1993 0.0000
Au 0.0000 0.2482 0.0000
Au 0.5000 0.2943 0.0000
Au 0.0000 0.3396 0.0000
Au 0.5000 0.3861 0.0000
Au 0.0000 0.4314 0.0000
Au 0.5000 0.4775 0.0000
Au 0.0000 0.5227 0.0000
Au 0.5000 0.5688 0.0000
Au 0.0000 0.6140 0.0000
Au 0.5000 0.6596 0.0000
Au 0.0000 0.7057 0.0000
Au 0.5000 0.7500 0.0000
Au 0.0000 0.8011 0.0000
Au 0.5000 0.8407 0.0000
Au 0.5000 0.1594 0.5000
Au 0.0000 0.1990 0.5000
Au 0.5000 0.2500 0.5000
Au 0.0000 0.2943 0.5000
Au 0.5000 0.3404 0.5000
Au 0.0000 0.3860 0.5000
Au 0.5000 0.4312 0.5000
Au 0.0000 0.4773 0.5000
Au 0.5000 0.5225 0.5000
Au 0.0000 0.5686 0.5000
Au 0.5000 0.6139 0.5000
Au 0.0000 0.6604 0.5000
Au 0.5000 0.7057 0.5000
Au 0.0000 0.7519 0.5000
Au 0.5000 0.8008 0.5000

Calculated values
Crystal system: monoclinic

---

Entry ii
## AsAu15 (GGA-PBE)

Data for crystalline AsAu15 at its relaxed geometry.

Cell: 4.0907 8.0716 39.7052 Å, 90.00 90.01 90.11°
Fractional positions:
As 0.4956 0.6935 0.0929
As 0.0070 0.3049 0.0930
As 0.9963 0.6928 0.9040
As 0.5029 0.3049 0.9040
Au 0.0012 0.8856 0.0866
Au 0.5011 0.1127 0.0866
Au 0.9990 0.6195 0.1435
Au 0.5003 0.3784 0.1436
Au 0.0005 0.1265 0.1496
Au 0.4989 0.8709 0.1496
Au 0.9997 0.3770 0.2005
Au 0.4998 0.6203 0.2005
Au 0.9989 0.8726 0.2030
Au 0.5009 0.1244 0.2030
Au 0.5004 0.3752 0.2553
Au 0.9992 0.6217 0.2553
Au 0.0011 0.1253 0.2568
Au 0.4986 0.8718 0.2569
Au 0.0009 0.3747 0.3101
Au 0.4991 0.6223 0.3102
Au 0.9984 0.8711 0.3103
Au 0.5018 0.1261 0.3103
Au 0.4989 0.8731 0.3641
Au 0.0012 0.1236 0.3641
Au 0.9996 0.6249 0.3644
Au 0.5004 0.3716 0.3644
Au 0.4989 0.6228 0.4181
Au 0.0010 0.3734 0.4181
Au 0.9990 0.8729 0.4183
Au 0.5009 0.1232 0.4183
Au 0.0000 0.6234 0.4717
Au 0.4986 0.8726 0.4717
Au 0.0016 0.1237 0.4718
Au 0.5001 0.3729 0.4718
Au 0.9990 0.8731 0.5251
Au 0.5009 0.1234 0.5251
Au 0.0011 0.3735 0.5251
Au 0.4990 0.6230 0.5251
Au 0.4985 0.8728 0.5785
Au 0.0018 0.1238 0.5785
Au 0.9998 0.6234 0.5787
Au 0.5004 0.3731 0.5787
Au 0.4993 0.6244 0.6324
Au 0.0010 0.3720 0.6324
Au 0.9990 0.8735 0.6326
Au 0.5012 0.1231 0.6326
Au 0.4987 0.8707 0.6864
Au 0.0015 0.1263 0.6864
Au 0.9994 0.6230 0.6865
Au 0.5008 0.3740 0.6865
Au 0.9990 0.8723 0.7398
Au 0.5013 0.1251 0.7399
Au 0.4995 0.6215 0.7413
Au 0.0011 0.3760 0.7413
Au 0.0008 0.1248 0.7939
Au 0.4995 0.8726 0.7939
Au 0.5004 0.3768 0.7962
Au 0.0000 0.6209 0.7962
Au 0.5014 0.1264 0.8474
Au 0.9989 0.8717 0.8474
Au 0.5003 0.6187 0.8534
Au 0.0002 0.3793 0.8535
Au 0.5012 0.8857 0.9103
Au 0.9979 0.1121 0.9103

Calculated values
Crystal system: triclinic

---

On energetic grounds, entry ii is preferred over the next structure by 1.9 kJ/mol of atoms.

---

Entry i
## Cu15Te (GGA-PBE)

Data for crystalline Cu15Te at its relaxed geometry.

Cell: 5.0916 2.7002 39.8118 Å, 90.00 90.07 90.00°
Fractional positions:
Cu 0.8759 0.2500 0.1736
Cu 0.6207 0.7500 0.2162
Cu 0.1276 0.7500 0.2165
Cu 0.8740 0.2500 0.2597
Cu 0.3746 0.2500 0.2606
Cu 0.1230 0.7500 0.3040
Cu 0.6259 0.7500 0.3040
Cu 0.3746 0.2500 0.3475
Cu 0.8747 0.2500 0.3479
Cu 0.1252 0.7500 0.3912
Cu 0.6244 0.7500 0.3913
Cu 0.3748 0.2500 0.4348
Cu 0.8750 0.2500 0.4348
Cu 0.6249 0.7500 0.4782
Cu 0.1251 0.7500 0.4783
Cu 0.8749 0.2500 0.5217
Cu 0.3751 0.2500 0.5218
Cu 0.1250 0.7500 0.5652
Cu 0.6252 0.7500 0.5652
Cu 0.3756 0.2500 0.6087
Cu 0.8748 0.2500 0.6088
Cu 0.1253 0.7500 0.6521
Cu 0.6254 0.7500 0.6525
Cu 0.3741 0.2500 0.6960
Cu 0.8770 0.2500 0.6960
Cu 0.6254 0.7500 0.7394
Cu 0.1260 0.7500 0.7403
Cu 0.8724 0.2500 0.7835
Cu 0.3793 0.2500 0.7838
Cu 0.1241 0.7500 0.8264
Te 0.3758 0.2500 0.1512
Te 0.6242 0.7500 0.8488

Calculated values
Crystal system: monoclinic

---

Entry ii
## Cu15Te (GGA-PBE)

Data for crystalline Cu15Te at its relaxed geometry.

Cell: 4.3841 31.6445 4.3868 Å, 90.00 108.36 90.00°
Fractional positions:
Cu 0.5000 0.1965 0.2500
Cu 0.0000 0.2352 0.2500
Cu 0.5000 0.2778 0.2500
Cu 0.0000 0.3171 0.2500
Cu 0.5000 0.3586 0.2500
Cu 0.0000 0.3984 0.2500
Cu 0.5000 0.4394 0.2500
Cu 0.0000 0.4795 0.2500
Cu 0.5000 0.5203 0.2500
Cu 0.0000 0.5608 0.2500
Cu 0.5000 0.6013 0.2500
Cu 0.0000 0.6422 0.2500
Cu 0.5000 0.6827 0.2500
Cu 0.0000 0.7237 0.2500
Cu 0.5000 0.7647 0.2500
Cu 0.5000 0.2353 0.7500
Cu 0.0000 0.2763 0.7500
Cu 0.5000 0.3173 0.7500
Cu 0.0000 0.3578 0.7500
Cu 0.5000 0.3987 0.7500
Cu 0.0000 0.4392 0.7500
Cu 0.5000 0.4797 0.7500
Cu 0.0000 0.5205 0.7500
Cu 0.5000 0.5606 0.7500
Cu 0.0000 0.6016 0.7500
Cu 0.5000 0.6414 0.7500
Cu 0.0000 0.6829 0.7500
Cu 0.5000 0.7222 0.7500
Cu 0.0000 0.7648 0.7500
Cu 0.5000 0.8035 0.7500
Te 0.0000 0.8205 0.2500
Te 0.0000 0.1795 0.7500

Calculated values
Crystal system: monoclinic

---

On energetic grounds, entry ii is preferred over the next structure by 4.6 kJ/mol of atoms.